No. 1
DFT (PBE-GGA) results for an optimized crystal structure of TiIrAu.

Summary:
Raw total energy ... -86.50 eV/cell
Energy of formation ... -51.2 kJ per mole of atoms
Fermi-level density of states ... 6.40 states/eV/cell
Relative energy among the computed polymorphs ... 2 meV per atom
Space-group type ... No. 12

Unit cell a=4.449 b=2.997 c=14.539 alpha=90.00 beta=90.18 gamma=90.00
Atoms (fractional coordinates):
Ir 0.749 0.000 0.440
Ir 0.251 0.000 0.560
Ir 0.749 0.500 0.940
Ir 0.251 0.500 0.060
Au 0.250 0.000 0.227
Au 0.750 0.000 0.773
Au 0.250 0.500 0.727
Au 0.750 0.500 0.273
Ti 0.249 0.000 0.909
Ti 0.751 0.000 0.091
Ti 0.249 0.500 0.409
Ti 0.751 0.500 0.591

=====

No. 2
DFT (PBE-GGA) results for an optimized crystal structure of TmPaZn2.

Summary:
Raw total energy ... -16.77 eV/cell
Energy of formation ... -6.1 kJ per mole of atoms
Fermi-level density of states ... 3.78 states/eV/cell
Relative energy among the computed polymorphs ... 60 meV per atom
Space-group type ... No. 225

Unit cell a=4.980 b=4.980 c=4.980 alpha=60.00 beta=60.00 gamma=60.00
Atoms (fractional coordinates):
Zn 0.250 0.250 0.250
Zn 0.750 0.750 0.750
Pa 0.000 0.000 0.000
Tm 0.500 0.500 0.500

=====

No. 3
DFT (PBE-GGA) results for an optimized crystal structure of HgBRh3.

Summary:
Raw total energy ... -29.35 eV/cell
Energy of formation ... -6.2 kJ per mole of atoms
Fermi-level density of states ... 4.94 states/eV/cell
Relative energy among the computed polymorphs ... 34 meV per atom
Space-group type ... No. 221

Unit cell a=4.165 b=4.165 c=4.165 alpha=90.00 beta=90.00 gamma=90.00
Atoms (fractional coordinates):
B 0.000 0.000 0.000
Rh 0.000 0.500 0.000
Rh 0.000 0.000 0.500
Rh 0.500 0.000 0.000
Hg 0.500 0.500 0.500

=====

No. 4
DFT (PBE-GGA) results for an optimized crystal structure of Ti12Tl3Mo5.

Summary:
Raw total energy ... -542.69 eV/cell
Energy of formation ... 98.0 kJ per mole of atoms
Fermi-level density of states ... 90.66 states/eV/cell
Space-group type ... No. 230

Unit cell a=13.145 b=13.145 c=13.145 alpha=109.47 beta=109.47 gamma=109.47
Atoms (fractional coordinates):
Tl 0.750 0.375 0.125
Tl 0.875 0.750 0.125
Tl 0.375 0.750 0.625
Tl 0.250 0.125 0.375
Tl 0.875 0.125 0.250
Tl 0.375 0.625 0.250
Tl 0.625 0.375 0.750
Tl 0.125 0.875 0.750
Tl 0.750 0.875 0.625
Tl 0.625 0.250 0.375
Tl 0.125 0.250 0.875
Tl 0.250 0.625 0.875
Mo 0.125 0.375 0.250
Mo 0.000 0.500 0.000
Mo 0.000 0.000 0.000
Mo 0.375 0.250 0.125
Mo 0.500 0.000 0.500
Mo 0.500 0.500 0.000
Mo 0.125 0.750 0.375
Mo 0.750 0.125 0.875
Mo 0.750 0.625 0.375
Mo 0.375 0.125 0.750
Mo 0.625 0.875 0.250
Mo 0.500 0.500 0.500
Mo 0.500 0.000 0.000
Mo 0.000 0.000 0.500
Mo 0.250 0.375 0.625
Mo 0.250 0.875 0.125
Mo 0.000 0.500 0.500
Mo 0.875 0.250 0.625
Mo 0.625 0.750 0.875
Mo 0.875 0.625 0.750
Ti 0.709 0.118 0.038
Ti 0.329 0.538 0.420
Ti 0.962 0.382 0.291
Ti 0.538 0.209 0.118
Ti 0.591 0.709 0.671
Ti 0.962 0.580 0.171
Ti 0.329 0.791 0.409
Ti 0.080 0.909 0.118
Ti 0.580 0.962 0.671
Ti 0.709 0.591 0.171
Ti 0.791 0.462 0.382
Ti 0.829 0.920 0.038
Ti 0.118 0.709 0.538
Ti 0.382 0.420 0.091
Ti 0.091 0.920 0.382
Ti 0.409 0.118 0.580
Ti 0.091 0.171 0.209
Ti 0.462 0.671 0.080
Ti 0.829 0.909 0.291
Ti 0.118 0.409 0.080
Ti 0.382 0.962 0.791
Ti 0.580 0.618 0.409
Ti 0.920 0.829 0.538
Ti 0.791 0.329 0.909
Ti 0.420 0.382 0.591
Ti 0.080 0.171 0.462
Ti 0.209 0.671 0.091
Ti 0.171 0.091 0.709
Ti 0.618 0.038 0.209
Ti 0.882 0.591 0.920
Ti 0.538 0.329 0.920
Ti 0.591 0.882 0.420
Ti 0.909 0.829 0.791
Ti 0.909 0.080 0.618
Ti 0.882 0.291 0.462
Ti 0.171 0.080 0.962
Ti 0.618 0.580 0.909
Ti 0.420 0.038 0.329
Ti 0.291 0.409 0.829
Ti 0.209 0.538 0.618
Ti 0.920 0.091 0.882
Ti 0.671 0.209 0.591
Ti 0.462 0.791 0.882
Ti 0.038 0.420 0.829
Ti 0.409 0.291 0.329
Ti 0.038 0.618 0.709
Ti 0.671 0.462 0.580
Ti 0.291 0.882 0.962

=====

No. 5
DFT (PBE-GGA) results for an optimized crystal structure of AgP2PdSe.

Summary:
Raw total energy ... -17.76 eV/cell
Fermi-level density of states ... 5.78 states/eV/cell
Space-group type ... No. 123

Unit cell a=4.834 b=4.685 c=4.834 alpha=90.00 beta=90.00 gamma=90.00
Atoms (fractional coordinates):
P 0.000 0.000 0.500
P 0.500 0.000 0.000
Se 0.000 0.000 0.000
Pd 0.000 0.500 0.000
Ag 0.500 0.500 0.500

=====

No. 6
DFT (PBE-GGA) results for an optimized crystal structure of LaB2Ru.

Summary:
Raw total energy ... -58.49 eV/cell
Energy of formation ... -40.6 kJ per mole of atoms
Fermi-level density of states ... 4.86 states/eV/cell
Relative energy among the computed polymorphs ... 0 meV per atom
Space-group type ... No. 63

Unit cell a=3.226 b=5.577 c=6.645 alpha=90.00 beta=104.04 gamma=90.00
Atoms (fractional coordinates):
La 0.923 0.750 0.846
La 0.077 0.250 0.154
B 0.255 0.591 0.510
B 0.745 0.409 0.490
B 0.745 0.091 0.490
B 0.255 0.909 0.510
Ru 0.661 0.750 0.322
Ru 0.339 0.250 0.678